Entry 1:
Below is crystalline La2MgSi at its relaxed geometry, with properties calculated at the GGA-PBEsol level.

Calculated values
- Total magnetic moment: 0.0 μB/cell
- Uncorrected formation energy: -0.172 eV per atom
- Uncorrected energy: -4.7110 eV/atom
- Crystal system: trigonal

a = 4.3079 Å, b = 4.3079 Å, c = 24.4323 Å
α = 90.00°, β = 90.00°, γ = 120.00°
Space group R-3m (No. 166, hexagonal axes)
Symmetry-distinct sites (fractional):
1 La 0.0000 0.0000 0.2326 (multiplicity 6)
2 Mg 0.0000 0.0000 0.0000 (multiplicity 3)
3 Si 0.0000 0.0000 0.5000 (multiplicity 3)

Entry 2:
Below is crystalline La2MgSi at its relaxed geometry, with properties calculated at the GGA-PBEsol level.

Calculated values
- Total magnetic moment: 0.0 μB/cell
- Uncorrected formation energy: -0.267 eV per atom
- Uncorrected energy: -4.8060 eV/atom
- Crystal system: tetragonal

a = 4.522 Å, b = 4.522 Å, c = 9.911 Å
α = 90.00°, β = 90.00°, γ = 90.00°
Space group I-4m2 (No. 119)
Symmetry-distinct sites (fractional):
1 La 0.000 0.000 0.000 (multiplicity 2)
2 La 0.000 0.500 0.250 (multiplicity 2)
3 Mg 0.000 0.000 0.500 (multiplicity 2)
4 Si 0.000 0.500 0.750 (multiplicity 2)

Entry 3:
Below is crystalline La6Mg23Si at its relaxed geometry, with properties calculated at the GGA-PBEsol level.

Calculated values
- Total magnetic moment: 0.0 μB/cell
- Uncorrected formation energy: -0.151 eV per atom
- Uncorrected energy: -2.7280 eV/atom
- Crystal system: cubic

a = 14.514 Å, b = 14.514 Å, c = 14.514 Å
α = 90.00°, β = 90.00°, γ = 90.00°
Space group Fm-3m (No. 225)
Symmetry-distinct sites (fractional):
1 La 0.000 0.000 0.206 (multiplicity 24)
2 Mg 0.000 0.000 0.500 (multiplicity 4)
3 Mg 0.000 0.250 0.250 (multiplicity 24)
4 Mg 0.122 0.122 0.378 (multiplicity 32)
5 Mg 0.171 0.171 0.171 (multiplicity 32)
6 Si 0.000 0.000 0.000 (multiplicity 4)

Please write out number 3 again, unchanged.
Below is crystalline La6Mg23Si at its relaxed geometry, with properties calculated at the GGA-PBEsol level.

Calculated values
- Total magnetic moment: 0.0 μB/cell
- Uncorrected formation energy: -0.151 eV per atom
- Uncorrected energy: -2.7280 eV/atom
- Crystal system: cubic

a = 14.514 Å, b = 14.514 Å, c = 14.514 Å
α = 90.00°, β = 90.00°, γ = 90.00°
Space group Fm-3m (No. 225)
Symmetry-distinct sites (fractional):
1 La 0.000 0.000 0.206 (multiplicity 24)
2 Mg 0.000 0.000 0.500 (multiplicity 4)
3 Mg 0.000 0.250 0.250 (multiplicity 24)
4 Mg 0.122 0.122 0.378 (multiplicity 32)
5 Mg 0.171 0.171 0.171 (multiplicity 32)
6 Si 0.000 0.000 0.000 (multiplicity 4)